An optimized crystal structure of Tb2Nd5In, computed with PBE.

Cell and atoms, written as POSCAR:
```
Tb2Nd5In
1.0
4.922 0.000 -0.954
-0.185 4.919 -0.954
-0.444 -0.461 10.877
Nd Tb In
5 2 1
Cartesian
2.368 2.459 -0.954
2.933 0.490 1.956
1.360 3.967 7.013
3.914 1.508 7.013
0.379 2.949 1.956
0.968 1.005 4.993
3.324 3.452 3.975
0.000 0.000 0.000
```

Results
spin magnetization = 0.00 μB per atom
calculated volume = 32.375 Å³/atom
E_form = -0.11 eV per atom
Fermi-level density of states = 10.541 states/eV/f.u.